Below is an optimized crystal structure of Na3AcAg8, with properties calculated at the PBE-GGA level.

The structure belongs to space group P3m1 (No. 156); the cell edges are 5.7304, 5.7304 and 9.5144 Å and the angles 90.00°, 90.00° and 120.00°. Symmetry generates all atoms from Na at (0.0000, 0.0000, 0.0000), Na at (0.0000, 0.0000, 0.3498), Na at (0.3333, 0.6667, 0.9027), Ac at (0.3333, 0.6667, 0.5087), Ag at (0.0018, 0.5009, 0.1926), Ag at (0.3291, 0.1645, 0.6984), Ag at (0.6667, 0.3333, 0.4428) and Ag at (0.6667, 0.3333, 0.9448).

The calculation puts the volume at 271 Å³ per cell. The theoretical density is 7.1 Mg/m³. Its formation energy is -0.11 eV/atom. For the offset from the most stable computed form, the calculation gives 0.00 eV/f.u.



Below is an optimized crystal structure of NaAcAg, with properties calculated at the PBE-GGA level.

The structure belongs to space group P4/nmm (No. 129, origin choice 2); the cell edges are 5.321, 5.321 and 7.767 Å and the angles 90.00°, 90.00° and 90.00°. Symmetry generates all atoms from Na at (0.250, 0.750, 0.000), Ac at (0.250, 0.750, 0.500) and Ag at (0.250, 0.250, 0.253).

The calculation puts the volume at 220 Å³ per cell. The theoretical density is 5.4 Mg/m³. Its formation energy is 0.08 eV/atom. For the offset from the most stable computed form, the calculation gives 0.50 eV/f.u.



Below is an optimized crystal structure of NaAcAg10, with properties calculated at the PBE-GGA level.

The structure belongs to space group Pmmm (No. 47); the cell edges are 4.717, 5.664 and 9.842 Å and the angles 90.00°, 90.00° and 90.00°. Symmetry generates all atoms from Na at (0.000, 0.000, 0.000), Ac at (0.000, 0.500, 0.500), Ag at (0.000, 0.000, 0.321), Ag at (0.000, 0.500, 0.159), Ag at (0.500, 0.000, 0.500), Ag at (0.500, 0.253, 0.252) and Ag at (0.500, 0.500, 0.000).

The calculation puts the volume at 263 Å³ per cell. The theoretical density is 8.4 Mg/m³. Its formation energy is -0.09 eV/atom.